# Ho2BeAg

Crystalline Ho2BeAg at its relaxed geometry (PBE-GGA, Alexandria via LeMat-Bulk).

Properties
The calculation puts the energy above the lowest structure with this stoichiometry at 0 meV per atom. The energy relative to the elements is -121.0 meV/atom. Its volume is 21.49 Å³ per atom. Its space group is P4/mmm, No. 123. The crystal system is tetragonal.

Cell: 3.471 3.471 7.135 Å, 90.00 90.00 90.00°
Sites, in units of the cell vectors:
Ho1 0.000 0.000 0.228
Ho2 0.000 0.000 0.772
Ag1 0.500 0.500 0.500
Be1 0.500 0.500 0.000